Computed, not measured: a relaxed TaOs4Ru crystal at the GGA-PBE level of DFT.

Calculated values
- Spin magnetization: 0.0 μB/f.u.
- Excess energy over the best structure of this formula in the dataset: 0 meV per atom
- ΔE_f: -0.05 eV/atom

The structure in CIF format:
```
data_TaOs4Ru
_chemical_formula_sum 'Ta2 Os8 Ru2'
_cell_length_a 4.790
_cell_length_b 5.219
_cell_length_c 8.386
_cell_angle_alpha 74.57
_cell_angle_beta 89.88
_cell_angle_gamma 62.73
_space_group_name_H-M_alt 'P -1'
_space_group_IT_number 2
_space_group_name_Hall '-P 1'
loop_
_atom_site_label
_atom_site_type_symbol
_atom_site_fract_x
_atom_site_fract_y
_atom_site_fract_z
Ta1 Ta 0.195 0.246 0.454
Os1 Os 0.209 0.252 0.119
Os2 Os 0.215 0.244 0.796
Os3 Os 0.298 0.749 0.717
Os4 Os 0.301 0.746 0.371
Ru1 Ru 0.291 0.750 0.043
```